[1]
# LiDy2Te

An optimized crystal structure of LiDy2Te (GGA-PBE, Alexandria).

extended XYZ file:
```
4
Lattice="2.084 1.203 7.183 -2.084 1.203 7.183 0.000 -2.407 7.183" Properties=species:S:1:pos:R:3 pbc="T T T"
Li 0.000 0.000 0.000
Dy 0.000 0.000 4.611
Dy 0.000 0.000 9.165
Te 0.000 0.000 13.959
```

Values from the calculation:
- Calculated total energy: -16.18 eV for the cell shown
- Energy relative to the lowest polymorph listed for this composition: 0.054 eV per atom
- Total magnetization: 0.00 μB/f.u.

[2]
# AcScCuSi

An optimized crystal structure of AcScCuSi (GGA-PBE, Alexandria).

extended XYZ file:
```
4
Lattice="0.000 3.587 3.587 3.587 0.000 3.587 3.587 3.587 0.000" Properties=species:S:1:pos:R:3 pbc="T T T"
Ac 0.000 0.000 0.000
Sc 3.587 3.587 3.587
Cu 5.380 5.380 5.380
Si 1.793 1.793 1.793
```

Values from the calculation:
- Calculated total energy: -20.86 eV for the cell shown
- Total magnetization: 0.00 μB/f.u.

[3]
# AcHoMg2In4

An optimized crystal structure of AcHoMg2In4 (GGA-PBE, Alexandria).

extended XYZ file:
```
8
Lattice="2.447 1.413 10.686 -2.447 1.413 10.686 0.000 -2.826 10.686" Properties=species:S:1:pos:R:3 pbc="T T T"
Ac 0.000 0.000 0.000
Ho 0.000 0.000 16.028
Mg 0.000 0.000 7.768
Mg 0.000 0.000 24.289
In 0.000 0.000 3.897
In 0.000 0.000 12.678
In 0.000 0.000 19.378
In 0.000 0.000 28.159
```

Values from the calculation:
- Calculated total energy: -25.19 eV for the cell shown
- Total magnetization: 0.00 μB/f.u.
- Formation energy: -295 meV per atom

[4]
# AgHgW2

An optimized crystal structure of AgHgW2 (GGA-PBE, Alexandria).

extended XYZ file:
```
8
Lattice="-1.912 1.912 10.347 1.912 -1.912 10.347 1.912 1.912 -10.347" Properties=species:S:1:pos:R:3 pbc="T T T"
Ag 0.000 0.000 0.000
Ag 0.000 1.912 5.173
Hg 1.912 0.000 5.173
Hg 0.000 0.000 10.347
W 2.868 0.954 -2.587
W 0.954 0.956 2.587
W -0.956 0.958 7.760
W 0.958 0.956 12.934
```

Values from the calculation:
- Calculated total energy: -49.35 eV for the cell shown
- Total magnetization: 0.00 μB/f.u.
- Formation energy: 1096 meV per atom

Q: What is the total magnetization in the first record?
A: 0.00 μB/f.u.

What did the fourth record say?
# AgHgW2

An optimized crystal structure of AgHgW2 (GGA-PBE, Alexandria).

extended XYZ file:
```
8
Lattice="-1.912 1.912 10.347 1.912 -1.912 10.347 1.912 1.912 -10.347" Properties=species:S:1:pos:R:3 pbc="T T T"
Ag 0.000 0.000 0.000
Ag 0.000 1.912 5.173
Hg 1.912 0.000 5.173
Hg 0.000 0.000 10.347
W 2.868 0.954 -2.587
W 0.954 0.956 2.587
W -0.956 0.958 7.760
W 0.958 0.956 12.934
```

Values from the calculation:
- Calculated total energy: -49.35 eV for the cell shown
- Total magnetization: 0.00 μB/f.u.
- Formation energy: 1096 meV per atom